Entry 1:
Here is crystalline Cd2GaSnF at its relaxed geometry from Alexandria. Energies are from GGA-PBEsol.

```
Cd2GaSnF
1.0
5.456 0.000 0.000
0.000 5.456 0.000
0.000 0.000 5.348
Cd Ga Sn F
2 1 1 1
Direct
0.000 0.500 0.000
0.500 0.000 0.000
0.000 0.000 0.500
0.000 0.000 0.000
0.500 0.500 0.500
```

VASP energy   -11.410 eV for the cell shown
Raw formation energy   0.102 eV per atom

Entry 2:
Here is crystalline CdGeF3 at its relaxed geometry from Alexandria. Energies are from GGA-PBEsol.

```
CdGeF3
1.0
4.304 0.000 0.000
0.000 4.304 0.000
0.000 0.000 4.304
Cd Ge F
1 1 3
Direct
0.000 0.000 0.000
0.500 0.500 0.500
0.000 0.500 0.500
0.500 0.000 0.500
0.500 0.500 0.000
```

VASP energy   -19.431 eV for the cell shown
Raw formation energy   -1.503 eV per atom

Entry 3:
Here is crystalline CdGeN2F at its relaxed geometry from Alexandria. Energies are from GGA-PBEsol.

```
CdGeN2F
1.0
4.175 0.000 0.000
0.000 4.175 0.000
0.000 0.000 4.282
Cd Ge N F
1 1 2 1
Direct
0.000 0.000 0.000
0.500 0.500 0.500
0.000 0.500 0.000
0.500 0.000 0.000
0.000 0.000 0.500
```

VASP energy   -19.893 eV for the cell shown
Raw formation energy   1.045 eV per atom

Entry 4:
Here is crystalline Zr2CdGeF at its relaxed geometry from Alexandria. Energies are from GGA-PBEsol.

```
Zr2CdGeF
1.0
5.270 0.000 0.000
0.000 5.270 0.000
0.000 0.000 4.124
Zr Cd Ge F
2 1 1 1
Direct
0.000 0.500 0.000
0.500 0.000 0.000
0.000 0.000 0.000
0.500 0.500 0.500
0.000 0.000 0.500
```

VASP energy   -24.157 eV for the cell shown
Raw formation energy   0.417 eV per atom

Entry 5:
Here is crystalline CdHF3 at its relaxed geometry from Alexandria. Energies are from GGA-PBEsol.

```
CdHF3
1.0
4.242 0.000 0.000
0.000 4.242 0.000
0.000 0.000 4.242
Cd H F
1 1 3
Direct
0.000 0.000 0.000
0.500 0.500 0.500
0.000 0.000 0.500
0.000 0.500 0.000
0.500 0.000 0.000
```

VASP energy   -14.331 eV for the cell shown

Entry 6:
Here is crystalline ZrCd2H12O6F8 at its relaxed geometry from Alexandria. Energies are from GGA-PBEsol.

```
ZrCd2H12O6F8
1.0
5.726 -4.108 0.000
5.726 4.108 0.000
-4.437 0.000 11.513
Zr Cd H O F
2 4 24 12 16
Direct
0.234 0.766 0.750
0.766 0.234 0.250
0.055 0.296 0.715
0.296 0.055 0.215
0.704 0.945 0.785
0.945 0.704 0.285
0.104 0.431 0.097
0.108 0.162 0.481
0.157 0.643 0.113
0.162 0.108 0.981
0.195 0.363 0.553
0.268 0.631 0.472
0.357 0.843 0.387
0.358 0.521 0.355
0.363 0.195 0.053
0.369 0.732 0.028
0.431 0.104 0.597
0.479 0.642 0.145
0.521 0.358 0.855
0.569 0.896 0.403
0.631 0.268 0.972
0.637 0.805 0.947
0.642 0.479 0.645
0.643 0.157 0.613
0.732 0.369 0.528
0.805 0.637 0.447
0.838 0.892 0.019
0.843 0.357 0.887
0.892 0.838 0.519
0.896 0.569 0.903
0.054 0.584 0.124
0.186 0.226 0.558
0.226 0.186 0.058
0.277 0.654 0.397
0.346 0.723 0.103
0.416 0.946 0.376
0.584 0.054 0.624
0.654 0.277 0.897
0.723 0.346 0.603
0.774 0.814 0.942
0.814 0.774 0.442
0.946 0.416 0.876
0.023 0.953 0.638
0.038 0.331 0.286
0.047 0.977 0.862
0.226 0.584 0.579
0.320 0.466 0.779
0.331 0.038 0.786
0.416 0.774 0.921
0.466 0.320 0.279
0.534 0.680 0.721
0.584 0.226 0.079
0.669 0.962 0.214
0.680 0.534 0.221
0.774 0.416 0.421
0.953 0.023 0.138
0.962 0.669 0.714
0.977 0.047 0.362
```

VASP energy   -299.755 eV for the cell shown

Entry 7:
Here is crystalline CdHPt2F at its relaxed geometry from Alexandria. Energies are from GGA-PBEsol.

```
CdHPt2F
1.0
5.060 0.000 0.000
0.000 5.060 0.000
0.000 0.000 4.108
Cd H Pt F
1 1 2 1
Direct
0.000 0.000 0.000
0.500 0.500 0.500
0.000 0.500 0.000
0.500 0.000 0.000
0.000 0.000 0.500
```

VASP energy   -13.661 eV for the cell shown

Entry 8:
Here is crystalline Hf2CdF at its relaxed geometry from Alexandria. Energies are from GGA-PBEsol.

```
Hf2CdF
1.0
0.000 3.297 3.297
3.297 0.000 3.297
3.297 3.297 0.000
Hf Cd F
2 1 1
Direct
0.250 0.250 0.250
0.750 0.750 0.750
0.000 0.000 0.000
0.500 0.500 0.500
```

VASP energy   -25.389 eV for the cell shown
Raw formation energy   -0.315 eV per atom

Entry 9:
Here is crystalline Cd2HgF2 at its relaxed geometry from Alexandria. Energies are from GGA-PBEsol.

```
Cd2HgF2
1.0
-1.995 1.995 5.381
1.995 -1.995 5.381
1.995 1.995 -5.381
Cd Hg F
2 1 2
Direct
0.129 0.129 0.000
0.871 0.871 0.000
0.500 0.500 0.000
0.250 0.750 0.500
0.750 0.250 0.500
```

VASP energy   -13.013 eV for the cell shown
Raw formation energy   -1.240 eV per atom

Entry 10:
Here is crystalline CdHgNF2 at its relaxed geometry from Alexandria. Energies are from GGA-PBEsol.

```
CdHgNF2
1.0
4.265 0.000 0.000
0.000 4.265 0.000
0.000 0.000 4.428
Cd Hg N F
1 1 1 2
Direct
0.000 0.000 0.000
0.500 0.500 0.500
0.000 0.000 0.500
0.000 0.500 0.000
0.500 0.000 0.000
```

VASP energy   -15.041 eV for the cell shown
Raw formation energy   -0.179 eV per atom

Entry 11:
Here is crystalline Cd2HgPF at its relaxed geometry from Alexandria. Energies are from GGA-PBEsol.

```
Cd2HgPF
1.0
5.305 0.000 0.000
0.000 5.305 0.000
0.000 0.000 4.326
Cd Hg P F
2 1 1 1
Direct
0.000 0.500 0.000
0.500 0.000 0.000
0.000 0.000 0.000
0.500 0.500 0.500
0.000 0.000 0.500
```

VASP energy   -9.035 eV for the cell shown
Raw formation energy   0.329 eV per atom

Entry 12:
Here is crystalline CdIN2F at its relaxed geometry from Alexandria. Energies are from GGA-PBEsol.

```
CdIN2F
1.0
4.649 0.000 0.000
0.000 4.649 0.000
0.000 0.000 4.298
Cd I N F
1 1 2 1
Direct
0.000 0.000 0.000
0.500 0.500 0.000
0.000 0.500 0.500
0.500 0.000 0.500
0.500 0.500 0.500
```

VASP energy   -12.837 eV for the cell shown
Raw formation energy   1.822 eV per atom

Entry 13:
Here is crystalline CdIOF2 at its relaxed geometry from Alexandria. Energies are from GGA-PBEsol.

```
CdIOF2
1.0
4.195 0.000 0.000
0.000 4.195 0.000
0.000 0.000 4.646
Cd I O F
1 1 1 2
Direct
0.000 0.000 0.000
0.500 0.500 0.500
0.000 0.000 0.500
0.000 0.500 0.000
0.500 0.000 0.000
```

VASP energy   -15.498 eV for the cell shown
Raw formation energy   -0.686 eV per atom

Entry 14:
Here is crystalline Cd2RuIF at its relaxed geometry from Alexandria. Energies are from GGA-PBEsol.

```
Cd2RuIF
1.0
5.202 0.000 0.000
0.000 5.202 0.000
0.000 0.000 4.795
Cd Ru I F
2 1 1 1
Direct
0.000 0.500 0.000
0.500 0.000 0.000
0.000 0.000 0.000
0.000 0.000 0.500
0.500 0.500 0.500
```

VASP energy   -15.655 eV for the cell shown
Raw formation energy   0.121 eV per atom

Entry 15:
Here is crystalline CdSbI2F at its relaxed geometry from Alexandria. Energies are from GGA-PBEsol.

```
CdSbI2F
1.0
5.837 0.000 0.000
0.000 5.837 0.000
0.000 0.000 4.182
Cd Sb I F
1 1 2 1
Direct
0.000 0.000 0.000
0.500 0.500 0.000
0.000 0.500 0.500
0.500 0.000 0.500
0.500 0.500 0.500
```

VASP energy   -12.531 eV for the cell shown
Raw formation energy   -0.263 eV per atom

Entry 16:
Here is crystalline CdInF2 at its relaxed geometry from Alexandria. Energies are from GGA-PBEsol.

```
CdInF2
1.0
1.698 0.981 7.606
-1.698 0.981 7.606
0.000 -1.961 7.606
Cd In F
1 1 2
Direct
0.000 0.000 0.000
0.500 0.500 0.500
0.386 0.386 0.386
0.614 0.614 0.614
```

VASP energy   -14.029 eV for the cell shown
Raw formation energy   -1.499 eV per atom

Entry 17:
Here is crystalline Cd2InSF at its relaxed geometry from Alexandria. Energies are from GGA-PBEsol.

```
Cd2InSF
1.0
5.258 0.000 0.000
0.000 5.258 0.000
0.000 0.000 3.962
Cd In S F
2 1 1 1
Direct
0.000 0.500 0.000
0.500 0.000 0.000
0.000 0.000 0.500
0.500 0.500 0.000
0.500 0.500 0.500
```

VASP energy   -12.329 eV for the cell shown
Raw formation energy   -0.128 eV per atom

Entry 18:
Here is crystalline CdIrF2 at its relaxed geometry from Alexandria. Energies are from GGA-PBEsol.

```
CdIrF2
1.0
1.375 0.794 8.393
-1.375 0.794 8.393
0.000 -1.588 8.393
Cd Ir F
1 1 2
Direct
0.000 0.000 0.000
0.500 0.500 0.500
0.092 0.092 0.092
0.908 0.908 0.908
```

VASP energy   -16.008 eV for the cell shown
Raw formation energy   -0.283 eV per atom

Entry 19:
Here is crystalline KCdF2 at its relaxed geometry from Alexandria. Energies are from GGA-PBEsol.

```
KCdF2
1.0
1.881 1.086 7.003
-1.881 1.086 7.003
0.000 -2.172 7.003
K Cd F
1 1 2
Direct
0.000 0.000 0.000
0.500 0.500 0.500
0.117 0.117 0.117
0.883 0.883 0.883
```

VASP energy   -12.962 eV for the cell shown
Raw formation energy   -1.694 eV per atom

Entry 20:
Here is crystalline KCdN2F at its relaxed geometry from Alexandria. Energies are from GGA-PBEsol.

```
KCdN2F
1.0
5.376 0.000 0.000
0.000 5.376 0.000
0.000 0.000 4.692
K Cd N F
1 1 2 1
Direct
0.000 0.000 0.000
0.500 0.500 0.500
0.000 0.500 0.000
0.500 0.000 0.000
0.000 0.000 0.500
```

VASP energy   -14.399 eV for the cell shown
Raw formation energy   1.382 eV per atom